Run one
Computed, not measured: a relaxed structure of Ca2BePd3 at the PBE level of DFT.

Lattice parameters (Å, degrees): 5.103 5.103 5.103 66.71 66.71 66.71
Fractional coordinates of all 6 atoms:
Ca1 0.128 0.128 0.128
Ca2 0.872 0.872 0.872
Be1 0.500 0.500 0.500
Pd1 0.000 0.500 0.500
Pd2 0.500 0.000 0.500
Pd3 0.500 0.500 0.000

---

Run two
Computed, not measured: a relaxed structure of Ca2BePd3 at the PBE level of DFT.

Lattice parameters (Å, degrees): 7.271 7.271 7.271 152.92 137.51 51.12
Fractional coordinates of all 6 atoms:
Ca1 0.182 0.182 0.000
Ca2 0.818 0.818 0.000
Be1 0.500 0.500 0.000
Pd1 0.000 0.500 0.500
Pd2 0.389 0.889 0.500
Pd3 0.611 0.111 0.500

---

Going by the energies, run one is most stable and the next is 277 meV/atom up.

---

Run one
Computed, not measured: a relaxed structure of Ca2BePdSe at the PBE level of DFT.

Lattice parameters (Å, degrees): 5.451 5.451 4.102 90.00 90.00 90.00
Fractional coordinates of all 5 atoms:
Ca1 0.000 0.500 0.000
Ca2 0.500 0.000 0.000
Be1 0.000 0.000 0.000
Pd1 0.500 0.500 0.500
Se1 0.000 0.000 0.500

---

Run two
Computed, not measured: a relaxed structure of Ca2BePdSe at the PBE level of DFT.

Lattice parameters (Å, degrees): 5.472 5.472 4.233 90.00 90.00 90.00
Fractional coordinates of all 5 atoms:
Ca1 0.000 0.500 0.000
Ca2 0.500 0.000 0.000
Be1 0.000 0.000 0.500
Pd1 0.000 0.000 0.000
Se1 0.500 0.500 0.500

---

Going by the energies, run two is most stable and the next is 431 meV/atom up.

---

Run one
Computed, not measured: a relaxed structure of CaPr2Be at the PBE level of DFT.

Lattice parameters (Å, degrees): 12.382 12.382 12.382 16.40 16.40 16.40
Fractional coordinates of all 4 atoms:
Ca1 0.000 0.000 0.000
Pr1 0.419 0.419 0.419
Pr2 0.581 0.581 0.581
Be1 0.500 0.500 0.500

---

Run two
Computed, not measured: a relaxed structure of CaPr2Be at the PBE level of DFT.

Lattice parameters (Å, degrees): 3.679 3.679 9.050 90.00 90.00 90.00
Fractional coordinates of all 4 atoms:
Ca1 0.000 0.000 0.000
Pr1 0.500 0.500 0.319
Pr2 0.500 0.500 0.681
Be1 0.000 0.000 0.500

---

Going by the energies, run two is most stable and the next is 630 meV/atom up.

---

Run one
Computed, not measured: a relaxed structure of CaBe2Pt at the PBE level of DFT.

Lattice parameters (Å, degrees): 8.237 8.237 8.237 148.62 148.62 44.98
Fractional coordinates of all 8 atoms:
Ca1 0.375 0.625 0.750
Ca2 0.625 0.375 0.250
Be1 0.000 0.000 0.000
Be2 0.000 0.000 0.500
Be3 0.000 0.500 0.000
Be4 0.500 0.000 0.500
Pt1 0.125 0.875 0.250
Pt2 0.875 0.125 0.750

---

Run two
Computed, not measured: a relaxed structure of CaBe2Pt at the PBE level of DFT.

Lattice parameters (Å, degrees): 3.130 3.130 6.312 90.00 90.00 90.00
Fractional coordinates of all 4 atoms:
Ca1 0.000 0.000 0.000
Be1 0.500 0.500 0.329
Be2 0.500 0.500 0.671
Pt1 0.000 0.000 0.500

---

Run three
Computed, not measured: a relaxed structure of CaBe2Pt at the PBE level of DFT.

Lattice parameters (Å, degrees): 3.939 3.939 4.060 90.00 90.00 90.00
Fractional coordinates of all 4 atoms:
Ca1 0.000 0.000 0.000
Be1 0.000 0.500 0.500
Be2 0.500 0.000 0.500
Pt1 0.500 0.500 0.000

---

Going by the energies, run one is most stable and the next is 91 meV/atom up.